The following is a PBE calculation of crystalline Li3DyPd4 at its relaxed geometry, from Alexandria.

Summary:
space group: P4/mmm (123)
DFT formation energy: -4.8 eV per formula unit
total DFT energy (no corrections): -4.49 eV/atom
N(E_F): 1.447 states/eV/cell

Geometry as POSCAR:
```
Li3DyPd4
1.0
4.261 0.000 0.000
0.000 4.261 0.000
0.000 0.000 6.864
Li Dy Pd
3 1 4
direct
0.000 0.000 0.000 Li
0.000 0.000 0.500 Li
0.500 0.500 0.000 Li
0.500 0.500 0.500 Dy
0.000 0.500 0.226 Pd
0.000 0.500 0.774 Pd
0.500 0.000 0.226 Pd
0.500 0.000 0.774 Pd
```